Crystalline PmVGeO5 at its relaxed geometry. Source: Alexandria via LeMat-Bulk, functional PBE+U.

Cell and atoms, written as CIF:
```
data_PmVGeO5
_cell_length_a 6.718
_cell_length_b 8.818
_cell_length_c 8.316
_cell_angle_alpha 90.00
_cell_angle_beta 110.15
_cell_angle_gamma 90.00
_symmetry_space_group_name_H-M 'C 1 2/c 1'
_symmetry_Int_Tables_number 15
_symmetry_space_group_name_Hall '-C 2yc'
loop_
_atom_site_label
_atom_site_type_symbol
_atom_site_fract_x
_atom_site_fract_y
_atom_site_fract_z
Pm1 Pm 0.000 0.000 0.000
V1 V 0.000 0.341 0.250
Ge1 Ge 0.000 0.323 0.750
O1 O 0.000 0.133 0.250
O2 O 0.132 0.463 0.903
O3 O 0.169 0.191 0.698
```

Calculated values
For the total energy, the calculation gives -235.96 eV for the cell shown. For the volume, the calculation gives 14.45 Å³/atom.